Compound: BaMgNiHg2
Source: Alexandria
Functional: PBE
Structure: optimized geometry

Cell: 5.2056 5.2056 4.8892 Å, 90.00 90.00 90.00°
With the nearest neighbours (Å) after each atom.
Element x y z (fractional)
Hg (0.5000, 0.0000, 0.0000)  2 Ni 2.60
Hg (0.0000, 0.5000, 0.0000)  2 Ni 2.60
Ni (0.0000, 0.0000, 0.0000)  2 Mg 2.44, 4 Hg 2.60
Mg (0.0000, 0.0000, 0.5000)  2 Ni 2.44
Ba (0.5000, 0.5000, 0.5000)  8 Hg 3.57, 4 Mg 3.68

Properties
**Uncorrected energy**: -2.20 eV per atom
**Space-group type**: P4/mmm
**Formation enthalpy at 0 K**: -0.224 eV/atom